No. 1
Density functional theory data (GGA-PBE) for a geometry-optimized La2POs structure.

a = 4.2121 Å, b = 4.2788 Å, c = 5.7877 Å
α = 68.31°, β = 90.00°, γ = 90.00°
Positions (direct):
La 0.0000 0.9870 0.9018
La 0.5000 0.2638 0.3471
Os 0.0000 0.6861 0.5017
P 0.5000 0.5632 0.7494

Total moment   0.0 Bohr magnetons per cell
Mass density   8.55 g cm⁻³
ΔH_f (0 K)   -0.6946 eV/atom

---

No. 2
Density functional theory data (GGA-PBE) for a geometry-optimized La2POs structure.

a = 4.9425 Å, b = 4.9425 Å, c = 4.9425 Å
α = 60.00°, β = 60.00°, γ = 60.00°
Positions (direct):
La 0.0000 0.0000 0.0000
La 0.2500 0.2500 0.2500
Os 0.5000 0.5000 0.5000
P 0.7500 0.7500 0.7500

Total moment   0.0 Bohr magnetons per cell
Mass density   9.71 g cm⁻³
ΔH_f (0 K)   -0.0307 eV/atom

---

No. 3
Density functional theory data (GGA-PBE) for a geometry-optimized LaPOs2 structure.

a = 5.1712 Å, b = 5.1712 Å, c = 5.4973 Å
α = 69.53°, β = 69.53°, γ = 34.45°
Positions (direct):
La 0.7455 0.7455 0.7331
Os 0.9705 0.9705 0.1455
Os 0.2439 0.2439 0.2165
P 0.5401 0.5401 0.4049

Total moment   0.0 Bohr magnetons per cell
Mass density   11.81 g cm⁻³
ΔH_f (0 K)   -0.1277 eV/atom

---

No. 4
Density functional theory data (GGA-PBE) for a geometry-optimized La2POs structure.

a = 6.5567 Å, b = 6.5567 Å, c = 6.5567 Å
α = 146.51°, β = 140.74°, γ = 52.53°
Positions (direct):
La 0.0020 0.0020 0.0000
La 0.2658 0.7658 0.5000
Os 0.5533 0.5533 0.0000
P 0.6789 0.1789 0.5000

Total moment   0.0 Bohr magnetons per cell
Mass density   8.47 g cm⁻³
ΔH_f (0 K)   -0.5732 eV/atom

---

No. 5
Density functional theory data (GGA-PBE) for a geometry-optimized La2POs structure.

a = 3.1909 Å, b = 3.1909 Å, c = 9.1712 Å
α = 90.00°, β = 90.00°, γ = 90.00°
Positions (direct):
La 0.0000 0.0000 0.9247
La 0.5000 0.5000 0.3194
Os 0.0000 0.0000 0.5713
P 0.5000 0.5000 0.6846

Total moment   0.0 Bohr magnetons per cell
Mass density   8.87 g cm⁻³
ΔH_f (0 K)   -0.1573 eV/atom

---

No. 6
Density functional theory data (GGA-PBE) for a geometry-optimized LaPOs2 structure.

a = 4.6699 Å, b = 4.6699 Å, c = 4.6699 Å
α = 60.00°, β = 60.00°, γ = 60.00°
Positions (direct):
La 0.5000 0.5000 0.5000
Os 0.0000 0.0000 0.0000
Os 0.2500 0.2500 0.2500
P 0.7500 0.7500 0.7500

Total moment   0.0 Bohr magnetons per cell
Mass density   12.69 g cm⁻³
ΔH_f (0 K)   0.6030 eV/atom

---

No. 7
Density functional theory data (GGA-PBE) for a geometry-optimized LaP2OsPb structure.

a = 4.5848 Å, b = 5.8935 Å, c = 4.5848 Å
α = 90.00°, β = 90.00°, γ = 90.00°
Positions (direct):
Pb 0.0000 0.5000 0.0000
P 0.0000 0.0000 0.5000
P 0.5000 0.0000 0.0000
Os 0.0000 0.0000 0.0000
La 0.5000 0.5000 0.5000

Total moment   0.0 Bohr magnetons per cell
Mass density   8.02 g cm⁻³
ΔH_f (0 K)   0.1118 eV/atom

---

No. 8
Density functional theory data (GGA-PBE) for a geometry-optimized La2POsRh structure.

a = 5.5590 Å, b = 4.2598 Å, c = 5.5590 Å
α = 90.00°, β = 90.00°, γ = 90.00°
Positions (direct):
Rh 0.5000 0.5000 0.5000
Os 0.0000 0.5000 0.0000
P 0.0000 0.0000 0.0000
La 0.0000 0.0000 0.5000
La 0.5000 0.0000 0.0000

Total moment   0.0 Bohr magnetons per cell
Mass density   7.59 g cm⁻³
ΔH_f (0 K)   -0.1172 eV/atom

---

No. 9
Density functional theory data (GGA-PBE) for a geometry-optimized LaP2OsRu structure.

a = 4.0685 Å, b = 4.0685 Å, c = 6.1272 Å
α = 109.39°, β = 109.39°, γ = 90.00°
Positions (direct):
La 0.0000 0.0000 0.0000
P 0.6424 0.6424 0.2849
P 0.3576 0.3576 0.7151
Os 0.7500 0.2500 0.5000
Ru 0.2500 0.7500 0.5000

Total moment   0.0 Bohr magnetons per cell
Mass density   9.13 g cm⁻³
Offset from the most stable computed form   0.0 kJ per mole of atoms
ΔH_f (0 K)   -0.9206 eV/atom

---

No. 10
Density functional theory data (GGA-PBE) for a geometry-optimized LaP2OsRu structure.

a = 4.4865 Å, b = 5.4229 Å, c = 4.4865 Å
α = 90.00°, β = 90.00°, γ = 90.00°
Site moments in Bohr magnetons follow the coordinates.
Positions (direct):
Ru 0.0000 0.0000 0.0000  -0.08
Os 0.5000 0.5000 0.5000  0.95
P 0.0000 0.0000 0.5000  -0.05
P 0.5000 0.0000 0.0000  -0.04
La 0.0000 0.5000 0.0000  -0.03

Total moment   0.8 Bohr magnetons per cell
Mass density   7.49 g cm⁻³
Offset from the most stable computed form   156.1 kJ per mole of atoms
ΔH_f (0 K)   0.6969 eV/atom

---

No. 11
Density functional theory data (GGA-PBE) for a geometry-optimized LaP2OsS structure.

a = 4.4893 Å, b = 5.2329 Å, c = 4.4893 Å
α = 90.00°, β = 90.00°, γ = 90.00°
Site moments in Bohr magnetons follow the coordinates.
Positions (direct):
P 0.0000 0.0000 0.5000  0.00
P 0.5000 0.0000 0.0000  0.00
S 0.0000 0.0000 0.0000  0.00
Os 0.5000 0.5000 0.5000  0.07
La 0.0000 0.5000 0.0000  0.00

Total moment   0.1 Bohr magnetons per cell
Mass density   6.66 g cm⁻³
Offset from the most stable computed form   116.7 kJ per mole of atoms
E_form (uncorrected)   0.80 eV per atom

---

No. 12
Density functional theory data (GGA-PBE) for a geometry-optimized LaP2OsS structure.

a = 4.5017 Å, b = 4.5017 Å, c = 5.2134 Å
α = 90.00°, β = 90.00°, γ = 90.00°
Positions (direct):
P 0.0000 0.5000 0.0000
P 0.5000 0.0000 0.0000
S 0.0000 0.0000 0.5000
Os 0.0000 0.0000 0.0000
La 0.5000 0.5000 0.5000

Total moment   0.0 Bohr magnetons per cell
Mass density   6.65 g cm⁻³
Offset from the most stable computed form   0.0 kJ per mole of atoms
E_form (uncorrected)   -0.41 eV per atom

---

No. 13
Density functional theory data (GGA-PBE) for a geometry-optimized LaP2OsS structure.

a = 5.3361 Å, b = 5.3361 Å, c = 5.2220 Å
α = 90.00°, β = 90.00°, γ = 90.00°
Site moments in Bohr magnetons follow the coordinates.
Positions (direct):
P 0.0000 0.5000 0.0000  0.10
P 0.5000 0.0000 0.0000  0.10
S 0.0000 0.0000 0.5000  -0.01
Os 0.5000 0.5000 0.5000  0.02
La 0.0000 0.0000 0.0000  0.08

Total moment   0.5 Bohr magnetons per cell
Mass density   4.73 g cm⁻³
Offset from the most stable computed form   225.3 kJ per mole of atoms
E_form (uncorrected)   1.92 eV per atom

---

No. 14
Density functional theory data (GGA-PBE) for a geometry-optimized LaSbPOs2 structure.

a = 4.8736 Å, b = 6.0114 Å, c = 4.8736 Å
α = 90.00°, β = 90.00°, γ = 90.00°
Site moments in Bohr magnetons follow the coordinates.
Positions (direct):
Sb 0.0000 0.5000 0.0000  0.04
Os 0.0000 0.0000 0.5000  0.98
Os 0.5000 0.0000 0.0000  0.91
P 0.5000 0.5000 0.5000  -0.07
La 0.0000 0.0000 0.0000  -0.06

Total moment   2.0 Bohr magnetons per cell
Mass density   7.82 g cm⁻³
E_form (uncorrected)   2.50 eV per atom

---

No. 15
Density functional theory data (GGA-PBE) for a geometry-optimized LaTaPOs2 structure.

a = 4.7623 Å, b = 4.9563 Å, c = 4.7623 Å
α = 90.00°, β = 90.00°, γ = 90.00°
Positions (direct):
P 0.0000 0.5000 0.0000
La 0.0000 0.0000 0.0000
Os 0.0000 0.0000 0.5000
Os 0.5000 0.0000 0.0000
Ta 0.5000 0.5000 0.5000

Total moment   0.0 Bohr magnetons per cell
Mass density   10.80 g cm⁻³
ΔH_f (0 K)   2.4877 eV/atom

---

No. 16
Density functional theory data (GGA-PBE) for a geometry-optimized LaTeP2Os structure.

a = 4.9622 Å, b = 6.0084 Å, c = 4.9622 Å
α = 90.00°, β = 90.00°, γ = 90.00°
Site moments in Bohr magnetons follow the coordinates.
Positions (direct):
P 0.0000 0.0000 0.5000  0.03
P 0.5000 0.0000 0.0000  0.05
Te 0.0000 0.0000 0.0000  0.01
Os 0.5000 0.5000 0.5000  2.50
La 0.0000 0.5000 0.0000  -0.10

Total moment   2.8 Bohr magnetons per cell
Mass density   5.82 g cm⁻³
E_form (uncorrected)   1.49 eV per atom

---

No. 17
Density functional theory data (GGA-PBE) for a geometry-optimized LaTiP2Os structure.

a = 3.9189 Å, b = 3.9189 Å, c = 6.6237 Å
α = 107.21°, β = 107.21°, γ = 90.00°
Positions (direct):
La 0.0000 0.0000 0.0000
Ti 0.2500 0.7500 0.5000
P 0.6302 0.6302 0.2604
P 0.3698 0.3698 0.7396
Os 0.7500 0.2500 0.5000

Total moment   0.0 Bohr magnetons per cell
Mass density   7.89 g cm⁻³
ΔH_f (0 K)   -0.9933 eV/atom

---

No. 18
Density functional theory data (GGA-PBE) for a geometry-optimized LaPaOs structure.

a = 4.7569 Å, b = 4.4753 Å, c = 4.4753 Å
α = 120.00°, β = 90.00°, γ = 90.00°
Positions (direct):
Pa 0.2036 0.3333 0.6667
Os 0.1170 0.0000 0.0000
La 0.6794 0.6667 0.3333

Total moment   0.0 Bohr magnetons per cell
Mass density   11.27 g cm⁻³
Offset from the most stable computed form   15.2 kJ per mole of atoms
ΔH_f (0 K)   0.0118 eV/atom

---

No. 19
Density functional theory data (GGA-PBE) for a geometry-optimized LaPaOs structure.

a = 3.5796 Å, b = 3.5796 Å, c = 6.2387 Å
α = 106.67°, β = 106.67°, γ = 90.00°
Positions (direct):
Pa 0.3013 0.3013 0.6026
Os 0.6970 0.6970 0.3941
La 0.0016 0.0016 0.0033

Total moment   0.0 Bohr magnetons per cell
Mass density   12.73 g cm⁻³
Offset from the most stable computed form   0.0 kJ per mole of atoms
ΔH_f (0 K)   -0.1457 eV/atom

---

No. 20
Density functional theory data (GGA-PBE) for a geometry-optimized LaPaOs structure.

a = 4.8585 Å, b = 4.8585 Å, c = 4.8585 Å
α = 60.00°, β = 60.00°, γ = 60.00°
Site moments in Bohr magnetons follow the coordinates.
Positions (direct):
Pa 0.5000 0.5000 0.5000  0.71
Os 0.2500 0.2500 0.2500  -0.06
La 0.0000 0.0000 0.0000  0.10

Total moment   1.0 Bohr magnetons per cell
Mass density   11.47 g cm⁻³
Offset from the most stable computed form   25.3 kJ per mole of atoms
ΔH_f (0 K)   0.1167 eV/atom

---

No. 21
Density functional theory data (GGA-PBE) for a geometry-optimized LaPaOs2 structure.

a = 3.4382 Å, b = 3.4382 Å, c = 7.4187 Å
α = 90.00°, β = 90.00°, γ = 90.00°
Positions (direct):
Pa 0.5000 0.5000 0.0000
Os 0.0000 0.0000 0.7929
Os 0.0000 0.0000 0.2071
La 0.5000 0.5000 0.5000

Total moment   0.0 Bohr magnetons per cell
Mass density   14.21 g cm⁻³
ΔH_f (0 K)   -0.1523 eV/atom

---

No. 22
Density functional theory data (GGA-PBE) for a geometry-optimized LaPa3Os2 structure.

a = 4.9944 Å, b = 8.8499 Å, c = 7.9959 Å
α = 115.79°, β = 90.00°, γ = 106.39°
Positions (direct):
La 0.8456 0.6912 0.9398
La 0.1544 0.3088 0.0602
Pa 0.2991 0.5982 0.5638
Pa 0.9652 0.9304 0.6691
Pa 0.6001 0.2001 0.6637
Pa 0.3999 0.7999 0.3363
Pa 0.0348 0.0696 0.3309
Pa 0.7009 0.4018 0.4362
Os 0.4775 0.9551 0.8077
Os 0.5225 0.0449 0.1923
Os 0.8291 0.6583 0.3090
Os 0.1709 0.3417 0.6910

Total moment   0.0 Bohr magnetons per cell
Mass density   13.32 g cm⁻³
ΔH_f (0 K)   -0.1141 eV/atom

---

No. 23
Density functional theory data (GGA-PBE) for a geometry-optimized LaPaTcOs structure.

a = 4.9584 Å, b = 4.9584 Å, c = 4.9584 Å
α = 60.00°, β = 60.00°, γ = 60.00°
Positions (direct):
Pa 0.0000 0.0000 0.0000
Os 0.2500 0.2500 0.2500
Tc 0.7500 0.7500 0.7500
La 0.5000 0.5000 0.5000

Total moment   0.0 Bohr magnetons per cell
Mass density   12.68 g cm⁻³
ΔH_f (0 K)   0.0576 eV/atom

---

No. 24
Density functional theory data (GGA-PBE) for a geometry-optimized LaOs4Pb structure.

a = 5.4314 Å, b = 5.4314 Å, c = 5.4314 Å
α = 60.00°, β = 60.00°, γ = 60.00°
Positions (direct):
La 0.0000 0.0000 0.0000
Os 0.8734 0.3755 0.3755
Os 0.3755 0.3755 0.8734
Os 0.3755 0.8734 0.3755
Os 0.3755 0.3755 0.3755
Pb 0.7500 0.7500 0.7500

Total moment   0.0 Bohr magnetons per cell
Mass density   16.23 g cm⁻³
ΔH_f (0 K)   0.3934 eV/atom

---

No. 25
Density functional theory data (GGA-PBE) for a geometry-optimized La6OsPb2 structure.

a = 4.4884 Å, b = 8.6443 Å, c = 8.5833 Å
α = 120.24°, β = 90.00°, γ = 90.00°
Positions (direct):
La 0.5000 0.5886 0.0000
La 0.5000 0.3997 0.4025
La 0.5000 0.9972 0.5975
La 0.0000 0.2356 0.0000
La 0.0000 0.7697 0.7743
La 0.0000 0.9954 0.2257
Os 0.5000 0.0175 0.0000
Pb 0.0000 0.3299 0.6635
Pb 0.0000 0.6664 0.3365

Total moment   0.0 Bohr magnetons per cell
Mass density   8.30 g cm⁻³
Offset from the most stable computed form   0.0 kJ per mole of atoms
ΔH_f (0 K)   -0.3874 eV/atom

---

No. 26
Density functional theory data (GGA-PBE) for a geometry-optimized La3OsPb structure.

a = 4.0400 Å, b = 9.1650 Å, c = 9.1650 Å
α = 129.61°, β = 90.00°, γ = 90.00°
Positions (direct):
Pb 0.5000 0.0964 0.9036
Os 0.0000 0.4036 0.5964
La 0.5000 0.2021 0.3225
La 0.5000 0.6775 0.7979
La 0.0000 0.2485 0.7515

Total moment   0.0 Bohr magnetons per cell
Mass density   5.17 g cm⁻³
Offset from the most stable computed form   63.5 kJ per mole of atoms
ΔH_f (0 K)   0.2517 eV/atom

---

No. 27
Density functional theory data (GGA-PBE) for a geometry-optimized LaOsPb4 structure.

a = 6.2582 Å, b = 6.2582 Å, c = 6.2582 Å
α = 60.00°, β = 60.00°, γ = 60.00°
Positions (direct):
La 0.7500 0.7500 0.7500
Os 0.0000 0.0000 0.0000
Pb 0.8770 0.3743 0.3743
Pb 0.3743 0.3743 0.8770
Pb 0.3743 0.8770 0.3743
Pb 0.3743 0.3743 0.3743

Total moment   0.0 Bohr magnetons per cell
Mass density   11.09 g cm⁻³
ΔH_f (0 K)   0.7109 eV/atom

---

No. 28
Density functional theory data (GGA-PBE) for a geometry-optimized La3OsPb structure.

a = 7.9169 Å, b = 7.4740 Å, c = 5.9583 Å
α = 90.00°, β = 63.55°, γ = 90.00°
Positions (direct):
Pb 0.6763 0.2500 0.6280
Pb 0.3237 0.7500 0.3720
Os 0.0098 0.2500 0.1259
Os 0.9902 0.7500 0.8741
La 0.2797 0.5184 0.8965
La 0.7203 0.4816 0.1035
La 0.2797 0.9816 0.8965
La 0.7203 0.0184 0.1035
La 0.1288 0.2500 0.5033
La 0.8712 0.7500 0.4967

Total moment   0.0 Bohr magnetons per cell
Mass density   8.57 g cm⁻³
Offset from the most stable computed form   6.9 kJ per mole of atoms
ΔH_f (0 K)   -0.3343 eV/atom